# AlMoAs2F (PBE with a Hubbard U, relaxed)
data_AlMoAs2F
_chemical_formula_sum 'Al1 Mo1 As2 F1'
_space_group_name_H-M_alt 'P 4/m m m'
_space_group_IT_number 123
_space_group_name_Hall '-P 4 2'
_cell_length_a 5.1243
_cell_length_b 5.1243
_cell_length_c 3.4984
_cell_angle_alpha 90.00
_cell_angle_beta 90.00
_cell_angle_gamma 90.00
loop_
_atom_site_label
_atom_site_fract_x
_atom_site_fract_y
_atom_site_fract_z
Al1 0.0000 0.0000 0.0000
Mo1 0.5000 0.5000 0.5000
As1 0.0000 0.5000 0.0000
F1 0.0000 0.0000 0.5000
# * DOS at the Fermi energy: 0.413 states/eV/atom
# * magnetic moment: 3.55 μB/cell
# * DFT total energy: -0.355 Ry/atom